1.
# AgSn3B

An optimized crystal structure of AgSn3B (PBE-GGA, Alexandria).

```
5
Lattice="5.326 0.000 0.000 0.000 5.326 0.000 0.000 0.000 5.326" Properties=species:S:1:pos:R:3 pbc="T T T"
Ag 0.000 0.000 0.000
Sn 0.000 0.000 2.663
Sn 0.000 2.663 0.000
Sn 2.663 0.000 0.000
B 2.663 2.663 2.663
```

**Space-group type**: No. 221
**E_tot**: -2.966 eV per atom
**E_form**: 1.34 eV/atom

2.
# HfOsO2

An optimized crystal structure of HfOsO2 (PBE-GGA, Alexandria).

```
4
Lattice="0.000 2.853 2.853 2.853 0.000 2.853 2.853 2.853 0.000" Properties=species:S:1:pos:R:3 pbc="T T T"
Hf 0.000 0.000 0.000
Os 2.853 2.853 2.853
O 1.427 1.427 1.427
O 4.280 4.280 4.280
```

**Space-group type**: No. 225
**Formation energy (no corrections)**: -464 meV per atom
**E_tot**: -8.238 eV per atom
**Offset from the most stable computed form**: 983 meV/atom

3.
# LiNi2Pt

An optimized crystal structure of LiNi2Pt (PBE-GGA, Alexandria).

```
4
Lattice="4.312 0.000 0.000 0.000 4.312 0.000 0.000 0.000 2.710" Properties=species:S:1:pos:R:3 pbc="T T T"
Li 0.000 0.000 0.000
Ni 0.000 2.156 1.355
Ni 2.156 0.000 1.355
Pt 2.156 2.156 0.000
```

**Space-group type**: No. 123
**E_tot**: -5.016 eV per atom
**E_form**: -0.14 eV/atom